[1]
Crystalline MnTc2HgRu at its relaxed geometry, computed with GGA-PBE.

Geometry as extended XYZ:
```
5
Lattice="4.661 0.000 0.000 0.000 4.747 0.000 0.000 0.000 4.661" Properties=species:S:1:pos:R:3 pbc="T T T"
Ru 0.000 0.000 0.000
Mn 0.000 2.374 0.000
Hg 2.330 2.374 2.330
Tc 0.000 0.000 2.330
Tc 2.330 0.000 0.000
```

Results
Total energy ... -32.647 eV for the cell shown
ΔH_f (0 K) ... 1.37 eV per atom
Crystal system ... tetragonal
V ... 103.13 Å³/cell

[2]
Crystalline SrSiTc2 at its relaxed geometry, computed with GGA-PBE.

Geometry as extended XYZ:
```
4
Lattice="4.639 -0.019 0.000 0.008 4.639 0.000 -2.323 -2.310 3.284" Properties=species:S:1:pos:R:3 pbc="T T T"
Si 2.323 2.310 0.000
Sr 2.319 -0.009 1.642
Tc 0.000 0.000 0.000
Tc 0.004 2.319 1.642
```

Results
Energy relative to the elements, uncorrected ... 0.61 eV/atom
Total energy ... -25.407 eV for the cell shown
Crystal system ... tetragonal
V ... 70.67 Å³/cell

[3]
Crystalline KAlRh4 at its relaxed geometry, computed with GGA-PBE.

Geometry as extended XYZ:
```
6
Lattice="-3.658 -3.675 -0.937 -4.392 -0.148 2.908 -4.620 1.366 -2.134" Properties=species:S:1:pos:R:3 pbc="T T T"
K 0.000 0.000 0.000
Al -9.503 -1.843 -0.122
Rh -6.579 -2.749 -0.527
Rh -7.057 -0.245 -1.121
Rh -6.943 -0.997 1.384
Rh -4.762 -0.923 -0.061
```

Results
Total energy ... -32.502 eV for the cell shown
ΔH_f (0 K) ... 0.29 eV per atom
Crystal system ... cubic
V ... 103.46 Å³/cell

[4]
Crystalline ScCoSe2 at its relaxed geometry, computed with GGA-PBE.

Geometry as extended XYZ:
```
4
Lattice="4.401 0.000 0.000 0.000 4.220 0.036 0.000 3.017 4.318" Properties=species:S:1:pos:R:3 pbc="T T T"
Co 0.000 3.260 1.813
Sc 2.200 4.680 3.302
Se 0.000 3.410 4.158
Se 2.200 2.523 1.576
```

Results
Energy relative to the elements, uncorrected ... -0.79 eV/atom
Total energy ... -23.547 eV for the cell shown
Crystal system ... monoclinic
V ... 79.72 Å³/cell

[5]
Crystalline Be3HPd at its relaxed geometry, computed with GGA-PBE.

Geometry as extended XYZ:
```
5
Lattice="-2.744 -0.418 -3.226 2.840 -2.366 -2.108 -1.587 -3.512 1.805" Properties=species:S:1:pos:R:3 pbc="T T T"
Be 1.420 -1.183 -1.054
Be -0.793 -1.756 0.902
Be -1.372 -0.209 -1.613
Pd 0.000 0.000 0.000
H -0.745 -3.148 -1.765
```

Results
Total energy ... -14.912 eV for the cell shown
Crystal system ... cubic
V ... 77.06 Å³/cell

[6]
Crystalline Sm10DyY6 at its relaxed geometry, computed with GGA-PBE.

Geometry as extended XYZ:
```
17
Lattice="-5.516 -0.445 4.102 0.422 -9.779 -0.493 4.859 4.765 7.051" Properties=species:S:1:pos:R:3 pbc="T T T"
Sm -0.667 -4.002 8.107
Sm -3.168 0.943 5.280
Sm -4.385 -3.044 3.212
Sm 0.433 -1.456 2.553
Sm 2.512 3.377 5.873
Sm -0.708 -7.179 0.397
Sm 0.623 -0.305 6.587
Sm -0.856 -5.153 4.073
Sm 1.901 -4.931 2.022
Sm 3.380 -0.083 4.537
Dy -2.758 -0.223 2.051
Y -1.859 -2.175 5.286
Y -0.774 2.683 7.271
Y -3.560 -6.448 2.535
Y 1.625 -3.284 5.375
Y 0.118 1.637 3.882
Y -1.533 -3.776 1.074
```

Results
Total energy ... -88.345 eV for the cell shown
ΔH_f (0 K) ... 0.13 eV per atom
Crystal system ... trigonal
V ... 572.91 Å³/cell